Entry 1:
SiIrAu2, optimized geometry, DFT PBE-GGA; crystal system = orthorhombic; M_tot = 0.00 μB/f.u.; VASP energy = -5.0947 eV/atom; uncorrected formation energy = 115.0 meV/atom
1.0
1.487 -2.489 0.000
1.487 2.489 0.000
0.000 0.000 8.922
Si Ir Au
1 1 2
Direct
0.000 0.000 0.000
0.500 0.500 0.800
0.000 0.000 0.522
0.500 0.500 0.240

Entry 2:
Si3IrAu, optimized geometry, DFT PBE-GGA; crystal system = cubic; M_tot = 0.00 μB/f.u.; VASP energy = -5.2448 eV/atom; uncorrected formation energy = 436.7 meV/atom
1.0
4.649 0.000 0.000
0.000 4.649 0.000
0.000 0.000 4.649
Si Ir Au
3 1 1
Direct
0.000 0.000 0.500
0.000 0.500 0.000
0.500 0.000 0.000
0.000 0.000 0.000
0.500 0.500 0.500

Entry 3:
Si2IrAu2, optimized geometry, DFT PBE-GGA; crystal system = tetragonal; M_tot = 0.00 μB/f.u.; VASP energy = -5.2606 eV/atom; uncorrected formation energy = -8.2 meV/atom
1.0
6.183 0.000 0.000
0.000 6.183 0.000
0.000 0.000 4.428
Si Ir Au
4 2 4
Direct
0.131 0.369 0.000
0.369 0.869 0.000
0.631 0.131 0.000
0.869 0.631 0.000
0.000 0.000 0.000
0.500 0.500 0.000
0.241 0.741 0.500
0.259 0.241 0.500
0.741 0.759 0.500
0.759 0.259 0.500

Entry 4:
SiIrAu2, optimized geometry, DFT PBE-GGA; crystal system = monoclinic; M_tot = 0.00 μB/f.u.; VASP energy = -5.3060 eV/atom; uncorrected formation energy = -96.3 meV/atom
1.0
2.877 0.000 0.000
0.000 3.510 0.000
-1.368 0.000 6.527
Si Ir Au
1 1 2
Direct
0.000 0.000 0.000
0.438 0.500 0.869
0.148 0.500 0.288
0.787 0.000 0.569

Entry 5:
SiIrAu2, optimized geometry, DFT PBE-GGA; crystal system = trigonal; M_tot = 0.00 μB/f.u.; VASP energy = -5.2637 eV/atom; uncorrected formation energy = -54.0 meV/atom
1.0
1.479 0.854 8.538
-1.479 0.854 8.538
0.000 -1.707 8.538
Si Ir Au
1 1 2
Direct
0.000 0.000 0.000
0.267 0.267 0.267
0.508 0.508 0.508
0.746 0.746 0.746

Entry 6:
SiIrAu2, optimized geometry, DFT PBE-GGA; crystal system = tetragonal; M_tot = 0.00 μB/f.u.; VASP energy = -4.9650 eV/atom; uncorrected formation energy = 244.7 meV/atom
1.0
-2.004 2.004 3.979
2.004 -2.004 3.979
2.004 2.004 -3.979
Si Ir Au
1 1 2
Direct
0.000 0.000 0.000
0.750 0.250 0.500
0.250 0.750 0.500
0.500 0.500 0.000

Entry 7:
SiIrAu2, optimized geometry, DFT PBE-GGA; crystal system = tetragonal; M_tot = 0.00 μB/f.u.; VASP energy = -4.9750 eV/atom; uncorrected formation energy = 234.7 meV/atom
1.0
-3.636 3.636 2.563
3.636 -3.636 2.563
3.636 3.636 -2.563
Si Ir Au
2 2 4
Direct
0.000 0.000 0.000
0.750 0.250 0.500
0.250 0.750 0.500
0.500 0.500 0.000
0.092 0.625 0.967
0.375 0.342 0.467
0.658 0.125 0.033
0.875 0.908 0.533

Entry 8:
SiIrAu2, optimized geometry, DFT PBE-GGA; crystal system = cubic; M_tot = 0.00 μB/f.u.; VASP energy = -4.9513 eV/atom; uncorrected formation energy = 258.4 meV/atom
1.0
0.000 3.179 3.179
3.179 0.000 3.179
3.179 3.179 0.000
Si Ir Au
1 1 2
Direct
0.000 0.000 0.000
0.750 0.750 0.750
0.250 0.250 0.250
0.500 0.500 0.500

Entry 9:
SiIrAu2, optimized geometry, DFT PBE-GGA; crystal system = tetragonal; M_tot = 0.00 μB/f.u.; VASP energy = -5.2700 eV/atom; uncorrected formation energy = -60.3 meV/atom
1.0
2.970 0.000 0.000
0.000 2.970 0.000
0.000 0.000 7.296
Si Ir Au
1 1 2
Direct
0.000 0.000 0.000
0.500 0.500 0.833
0.000 0.000 0.542
0.500 0.500 0.253

Entry 10:
SiIrAu2, optimized geometry, DFT PBE-GGA; crystal system = orthorhombic; M_tot = 0.00 μB/f.u.; VASP energy = -5.2542 eV/atom; uncorrected formation energy = -44.5 meV/atom
1.0
-1.451 1.947 5.991
1.451 -1.947 5.991
1.451 1.947 -5.991
Si Ir Au
1 1 2
Direct
0.000 0.000 0.000
0.500 0.500 0.000
0.184 0.684 0.500
0.816 0.316 0.500

Entry 11:
SiIrAu2, optimized geometry, DFT PBE-GGA; crystal system = monoclinic; M_tot = 0.00 μB/f.u.; VASP energy = -4.9969 eV/atom; uncorrected formation energy = 212.8 meV/atom
1.0
2.915 0.000 0.000
0.000 5.146 0.000
-0.041 0.000 4.424
Si Ir Au
1 1 2
Direct
0.000 0.000 0.000
0.500 0.000 0.500
0.245 0.500 0.751
0.755 0.500 0.249

Entry 12:
SiIrAu2, optimized geometry, DFT PBE-GGA; crystal system = orthorhombic; M_tot = 0.00 μB/f.u.; VASP energy = -5.1465 eV/atom; uncorrected formation energy = 63.2 meV/atom
1.0
-1.687 2.211 4.383
1.687 -2.211 4.383
1.687 2.211 -4.383
Si Ir Au
1 1 2
Direct
0.000 0.000 0.000
0.816 0.316 0.500
0.230 0.730 0.500
0.524 0.524 0.000